Crystalline YCo2Pb at its relaxed geometry. Source: the Alexandria database, functional PBE-GGA.

The space group is P4mm (No. 99) and the conventional cell measures 3.266, 3.266 and 7.185 Å, with angles of 90.00, 90.00 and 90.00 degrees. The asymmetric unit holds Y at (0.000, 0.000, 0.000), Co at (0.000, 0.000, 0.384), Co at (0.500, 0.500, 0.248) and Pb at (0.500, 0.500, 0.635).

Its spin magnetization is 2.58 Bohr magnetons per cell. As for the crystal system: tetragonal. The density is 8.97 g/cm3. The value obtained for the formation energy is 0.122 eV/atom.